Compound: SrMgZr2
Source: Alexandria via LeMat-Bulk
Functional: PBE-GGA
Structure: relaxed

The space group is Cmm2 (No. 35) and the conventional cell measures 4.620, 4.664 and 10.399 Å, with angles of 90.00, 90.00 and 90.00 degrees. The distinct sites, in fractional coordinates, are Sr at (0.000, 0.000, 0.000), Mg at (0.000, 0.500, 0.272), Zr at (0.000, 0.000, 0.504) and Zr at (0.000, 0.500, 0.702).

Its density of states at the Fermi level is 4.13 states/eV/f.u. Its formation energy is 0.180 eV per atom.